TbCrO4 | GGA+U | optimized geometry

Computed properties:
M_tot	1.0	μB per formula unit
calculated total energy	-7.6626	eV per atom

a = 5.9756 Å, b = 5.9756 Å, c = 6.0350 Å
α = 106.06°, β = 106.06°, γ = 116.19°
Site moments in Bohr magnetons follow the coordinates.
Element x y z (fractional)
Cr (0.6250, 0.3750, 0.2500)  1.07
Cr (0.3750, 0.6250, 0.7500)  1.07
Tb (0.8750, 0.1250, 0.7500)  0.02
Tb (0.1250, 0.8750, 0.2500)  0.02
O (0.1882, 0.6311, 0.9215)  -0.02
O (0.6311, 0.1882, 0.4215)  -0.02
O (0.2667, 0.2096, 0.0785)  -0.02
O (0.2096, 0.2667, 0.5785)  -0.02
O (0.3689, 0.8118, 0.5785)  -0.02
O (0.8118, 0.3689, 0.0785)  -0.02
O (0.7904, 0.7333, 0.4215)  -0.02
O (0.7333, 0.7904, 0.9215)  -0.02